No. 1
RbNb2Br at its PBEsol-relaxed geometry. Source: the Alexandria database, functional meta-GGA SCAN.

extended XYZ file:
```
4
Lattice="0.000 3.410 3.410 3.410 0.000 3.410 3.410 3.410 0.000" Properties=species:S:1:pos:R:3 pbc="T T T"
Rb 0.000 0.000 0.000
Nb 1.705 1.705 1.705
Nb 5.116 5.116 5.116
Br 3.410 3.410 3.410
```

## Properties
Space-group type = Fm-3m (225)
Electronic total energy = -98.8 eV for the cell shown
Volume = 79.33 Å³ per cell
Formation energy without anion corrections = 1917 meV/atom

No. 2
Rb2Nb3Br9 at its PBEsol-relaxed geometry. Source: the Alexandria database, functional meta-GGA SCAN.

extended XYZ file:
```
28
Lattice="5.513 -8.611 0.000 5.513 8.611 0.000 -4.590 0.000 9.081" Properties=species:S:1:pos:R:3 pbc="T T T"
Rb 1.288 5.892 6.143
Rb 5.148 5.892 2.938
Rb 1.288 -5.892 6.143
Rb 5.148 -5.892 2.938
Nb 0.116 1.475 7.844
Nb 3.763 0.000 1.152
Nb 0.116 -1.475 7.844
Nb 6.320 1.475 1.237
Nb 2.673 0.000 7.928
Nb 6.320 -1.475 1.237
Br 1.893 5.157 2.899
Br -2.194 1.824 8.986
Br -1.077 0.000 6.057
Br 1.449 0.000 2.668
Br 5.513 3.617 0.000
Br -2.194 -1.824 8.986
Br 2.062 1.802 6.174
Br 4.543 5.157 6.182
Br 4.374 1.802 2.907
Br 2.062 -1.802 6.174
Br 1.893 -5.157 2.899
Br 4.374 -1.802 2.907
Br 8.630 1.824 0.095
Br 5.513 -3.617 0.000
Br 4.987 0.000 6.413
Br 7.513 0.000 3.024
Br 8.630 -1.824 0.095
Br 4.543 -5.157 6.182
```

## Properties
Space-group type = C2/m (12)
Electronic total energy = -668.1 eV for the cell shown
Volume = 862.16 Å³ per cell
Formation energy without anion corrections = -1291 meV/atom